# 1
Computed, not measured: an optimized crystal structure of Nd2AlRe at the PBE level of DFT.

Calculated values
Total energy (eV/atom): -5.671
DOS(E_F) (states/eV/cell): 15.68
Energy of formation from the pure elements (eV/atom): 0.760

Cell lengths 3.1210, 3.1210, 33.2843 Å; angles 90.00, 90.00, 120.00 degrees
Space group R-3m (No. 166, hexagonal axes)
Inequivalent atoms, fractional coordinates:
Nd  0.0000  0.0000  0.0854
Al  0.0000  0.0000  0.5000
Re  0.0000  0.0000  0.0000



# 2
Computed, not measured: an optimized crystal structure of TaCu2Ir at the PBE level of DFT.

Calculated values
Total energy (eV/atom): -7.296
DOS(E_F) (states/eV/cell): 3.68
Energy of formation from the pure elements (eV/atom): -0.070
Energy relative to the lowest polymorph listed for this composition (eV/atom): 0.129

Cell lengths 2.8720, 2.8720, 6.9189 Å; angles 90.00, 90.00, 90.00 degrees
Space group P4mm (No. 99)
Inequivalent atoms, fractional coordinates:
Ta  0.0000  0.0000  0.0000
Cu  0.0000  0.0000  0.4859
Cu  0.5000  0.5000  0.2758
Ir  0.5000  0.5000  0.7343



# 3
Computed, not measured: an optimized crystal structure of NbCr3 at the PBE level of DFT.

Calculated values
Total energy (eV/atom): -9.407
DOS(E_F) (states/eV/cell): 6.55
Energy of formation from the pure elements (eV/atom): 0.328

Cell lengths 3.4973, 3.4973, 8.9211 Å; angles 90.00, 90.00, 90.00 degrees
Space group I4/mmm (No. 139)
Inequivalent atoms, fractional coordinates:
Nb  0.0000  0.0000  0.0000
Cr  0.0000  0.0000  0.5000
Cr  0.0000  0.5000  0.2500



# 4
Computed, not measured: an optimized crystal structure of LaLu3Tc at the PBE level of DFT.

Calculated values
Total energy (eV/atom): -5.727
DOS(E_F) (states/eV/cell): 7.44
Energy of formation from the pure elements (eV/atom): 0.044

Cell lengths 5.3352, 5.3352, 5.3352 Å; angles 90.00, 90.00, 90.00 degrees
Space group Pm-3m (No. 221)
Inequivalent atoms, fractional coordinates:
La  0.0000  0.0000  0.0000
Lu  0.0000  0.5000  0.5000
Tc  0.5000  0.5000  0.5000



# 5
Computed, not measured: an optimized crystal structure of RbBaLi at the PBE level of DFT.

Calculated values
Total energy (eV/atom): -1.542
DOS(E_F) (states/eV/cell): 11.27
Energy of formation from the pure elements (eV/atom): 0.059
Energy relative to the lowest polymorph listed for this composition (eV/atom): 0.000

Cell lengths 5.1316, 27.0096, 5.1373 Å; angles 90.00, 90.00, 90.00 degrees
Space group Cmcm (No. 63)
Inequivalent atoms, fractional coordinates:
Rb  0.0000  0.1892  0.2500
Ba  0.0000  0.4301  0.2500
Li  0.0000  0.0321  0.2500



# 6
Computed, not measured: an optimized crystal structure of Sc3TlCd2 at the PBE level of DFT.

Calculated values
Total energy (eV/atom): -4.151
DOS(E_F) (states/eV/cell): 6.67
Energy of formation from the pure elements (eV/atom): -0.285
Energy relative to the lowest polymorph listed for this composition (eV/atom): 0.010

Cell lengths 3.5643, 3.5643, 10.6430 Å; angles 90.00, 90.00, 90.00 degrees
Space group P4/mmm (No. 123)
Inequivalent atoms, fractional coordinates:
Sc  0.0000  0.0000  0.0000
Sc  0.0000  0.0000  0.3279
Tl  0.5000  0.5000  0.5000
Cd  0.5000  0.5000  0.1607



> Among the records above, which one has the highest total energy?

RbBaLi



> Which value of DOS(E_F) does entry 5 give?

11.27 states/eV/cell